1.
RbFe2Se3: optimized geometry, PBE-GGA.

Properties
total magnetization = 0.754 μB per atom
V = 23.5 Å³ per atom
E = -61.5 eV for the cell shown

extended XYZ file:
```
12
Lattice="-4.229 5.316 5.612 -2.004 -2.879 1.217 7.972 -4.130 3.353" Properties=species:S:1:pos:R:3 pbc="T T T"
Fe -0.080 -0.439 1.662
Fe -0.064 -1.580 4.650
Fe 1.802 -0.112 5.532
Fe 1.819 -1.254 8.521
Rb -1.580 2.076 5.140
Rb 3.319 -3.768 5.043
Se -1.892 -0.881 3.294
Se -4.552 2.487 6.882
Se 1.871 -1.122 3.256
Se -0.132 -0.570 6.926
Se 6.291 -4.180 3.300
Se 3.631 -0.811 6.888
```

2.
RbSmFeSe3: optimized geometry, PBE-GGA.

Properties
total magnetization = 0.666 μB per atom
V = 30.7 Å³ per atom
E = -63.4 eV for the cell shown

extended XYZ file:
```
12
Lattice="-1.526 -6.505 6.483 4.009 0.202 1.146 -1.613 8.987 4.057" Properties=species:S:1:pos:R:3 pbc="T T T"
Fe 0.930 -2.171 8.533
Fe -0.060 4.856 3.153
Rb 0.306 0.850 2.582
Rb 0.564 1.835 9.105
Se 2.062 -1.393 4.435
Se 1.387 -4.213 7.295
Se -0.968 -0.954 7.355
Se 1.838 3.639 4.331
Se -0.517 6.898 4.392
Se -1.192 4.078 7.251
Sm -0.255 -2.948 5.214
Sm 1.125 5.633 6.473
```

3.
RbSmFeSe3: optimized geometry, PBE-GGA.

Properties
total magnetization = 0.666 μB per atom
V = 27.0 Å³ per atom
E = -125.1 eV for the cell shown

extended XYZ file:
```
24
Lattice="11.526 0.000 0.000 0.000 4.395 0.000 0.000 0.000 12.793" Properties=species:S:1:pos:R:3 pbc="T T T"
Fe 8.521 0.000 2.679
Fe 2.758 0.000 3.718
Fe 8.768 2.197 9.075
Fe 3.005 2.197 10.114
Rb 1.991 0.000 0.031
Rb 7.754 0.000 6.365
Rb 3.772 2.197 6.428
Rb 9.535 2.197 12.762
Se 6.950 0.000 0.793
Se 10.889 0.000 2.234
Se 2.451 2.197 2.589
Se 8.214 2.197 3.807
Se 5.126 0.000 4.162
Se 1.187 0.000 5.603
Se 10.339 2.197 7.190
Se 6.400 2.197 8.631
Se 3.312 0.000 8.986
Se 9.075 0.000 10.204
Se 0.637 2.197 10.559
Se 4.576 2.197 12.000
Sm 5.516 2.197 2.219
Sm 11.279 2.197 4.178
Sm 0.247 0.000 8.615
Sm 6.009 0.000 10.574
```

4.
RbTbFeSe3: optimized geometry, PBE-GGA.

Properties
total magnetization = 0.666 μB per atom
V = 30.2 Å³ per atom
E = -63.3 eV for the cell shown

extended XYZ file:
```
12
Lattice="8.992 0.000 0.000 0.000 4.115 0.000 -3.771 0.000 9.800" Properties=species:S:1:pos:R:3 pbc="T T T"
Fe 4.804 1.029 0.857
Fe 0.416 3.087 8.943
Rb 1.442 3.087 2.176
Rb 3.779 1.029 7.623
Se 6.250 3.087 0.514
Se 4.067 1.029 3.167
Se -0.935 1.029 3.484
Se 6.156 3.087 6.315
Se 1.154 3.087 6.633
Se -1.029 1.029 9.286
Tb 6.061 3.087 3.490
Tb -0.840 1.029 6.309
```

5.
RbTmFeSe3: optimized geometry, PBE-GGA.

Properties
total magnetization = 0.666 μB per atom
V = 26.6 Å³ per atom
E = -60.5 eV for the cell shown

extended XYZ file:
```
12
Lattice="-6.673 5.958 -0.307 -8.565 2.432 0.923 3.175 1.190 8.293" Properties=species:S:1:pos:R:3 pbc="T T T"
Fe -6.653 4.470 2.582
Fe -5.410 5.110 6.327
Rb -2.068 1.333 0.641
Rb -9.996 8.247 8.268
Se -7.619 4.195 0.308
Se -4.554 3.162 2.060
Se -8.984 6.005 3.398
Se 1.588 0.595 4.147
Se -3.079 3.575 5.511
Se -7.509 6.418 6.849
Tm -11.350 7.498 4.038
Tm -0.713 2.082 4.871
```

6.
RbTmFeSe3: optimized geometry, PBE-GGA.

Properties
total magnetization = 0.649 μB per atom
V = 29.3 Å³ per atom
E = -63.0 eV for the cell shown

extended XYZ file:
```
12
Lattice="9.280 0.000 0.000 0.000 4.069 0.000 -3.533 0.000 9.315" Properties=species:S:1:pos:R:3 pbc="T T T"
Fe 2.497 3.052 3.842
Fe 3.249 1.017 5.473
Rb 5.737 1.017 2.184
Rb 0.009 3.052 7.131
Se 8.359 3.052 1.426
Se 3.004 3.052 1.467
Se 1.077 1.017 4.292
Se 4.670 3.052 5.023
Se 2.742 1.017 7.847
Se -2.613 1.017 7.889
Tm 1.013 1.017 1.369
Tm 4.733 3.052 7.946
```

7.
RbYFeSe3: optimized geometry, PBE-GGA.

Properties
total magnetization = 0.663 μB per atom
V = 30.2 Å³ per atom
E = -67.0 eV for the cell shown

extended XYZ file:
```
12
Lattice="-4.457 7.863 1.190 -3.548 -1.881 -0.861 0.649 -5.300 8.901" Properties=species:S:1:pos:R:3 pbc="T T T"
Fe -3.378 3.566 1.229
Fe -3.979 -2.885 8.001
Rb -3.702 -0.549 1.760
Rb -3.654 1.230 7.470
Se -5.816 3.952 0.637
Se -3.335 2.488 3.406
Se -0.859 -1.986 2.980
Se -6.497 2.667 6.250
Se -4.022 -1.807 5.824
Se -1.541 -3.271 8.593
Y -6.121 3.217 3.501
Y -1.235 -2.536 5.729
```

8.
RbZnFeSe3: optimized geometry, PBE-GGA.

Properties
total magnetization = 0.658 μB per atom
V = 25.4 Å³ per atom
E = -96.8 eV for the cell shown

extended XYZ file:
```
24
Lattice="10.254 0.000 0.000 0.000 3.851 0.000 0.000 0.000 15.453" Properties=species:S:1:pos:R:3 pbc="T T T"
Fe 5.246 2.889 3.858
Fe 0.118 2.889 3.868
Fe 10.136 0.963 11.584
Fe 5.009 0.963 11.595
Rb 7.660 0.963 0.023
Rb 2.533 0.963 7.704
Rb 7.722 2.889 7.749
Rb 2.595 2.889 15.430
Se 4.793 0.963 2.141
Se 0.514 0.963 2.145
Se 7.793 2.889 2.908
Se 2.666 2.889 4.818
Se 5.641 0.963 5.581
Se 9.920 0.963 5.585
Se 0.334 2.889 9.867
Se 4.613 2.889 9.872
Se 7.589 0.963 10.635
Se 2.462 0.963 12.544
Se 9.740 2.889 13.307
Se 5.462 2.889 13.312
Zn 2.657 0.963 3.296
Zn 7.784 0.963 4.431
Zn 2.470 2.889 11.022
Zn 7.597 2.889 12.157
```

9.
RbZnFeSe3: optimized geometry, PBE-GGA.

Properties
total magnetization = 0.651 μB per atom
V = 25.4 Å³ per atom
E = -48.4 eV for the cell shown

extended XYZ file:
```
12
Lattice="1.929 -7.718 0.000 1.929 7.718 0.000 0.000 0.000 10.252" Properties=species:S:1:pos:R:3 pbc="T T T"
Fe 0.000 0.000 0.000
Fe 0.000 0.000 5.126
Rb 1.929 3.838 2.563
Rb 1.929 -3.838 7.689
Se 1.929 -1.718 0.423
Se 1.929 -6.758 2.563
Se 1.929 -1.718 4.703
Se 1.929 1.718 5.549
Se 1.929 6.758 7.689
Se 1.929 1.718 9.829
Zn 1.929 -0.557 2.563
Zn 1.929 0.557 7.689
```

10.
RbFeSi: optimized geometry, PBE-GGA.

Properties
total magnetization = 0.677 μB per atom
V = 34.6 Å³ per atom
E = -8.6 eV for the cell shown

extended XYZ file:
```
3
Lattice="4.203 1.080 3.003 -0.646 2.231 4.739 0.903 -2.802 4.380" Properties=species:S:1:pos:R:3 pbc="T T T"
Fe 1.115 0.127 3.031
Rb 0.000 0.000 0.000
Si 3.346 0.381 9.092
```

11.
RbFeSi: optimized geometry, PBE-GGA.

Properties
total magnetization = 1.188 μB per atom
V = 28.3 Å³ per atom
E = -10.7 eV for the cell shown

extended XYZ file:
```
3
Lattice="0.000 3.486 3.486 3.486 0.000 3.486 3.486 3.486 0.000" Properties=species:S:1:pos:R:3 pbc="T T T"
Fe 1.743 1.743 1.743
Rb 5.230 5.230 5.230
Si 0.000 0.000 0.000
```

12.
RbFe3Si5: optimized geometry, PBE-GGA.

Properties
total magnetization = 0.342 μB per atom
V = 19.0 Å³ per atom
E = -53.5 eV for the cell shown

extended XYZ file:
```
9
Lattice="4.730 0.000 0.000 -2.365 4.097 0.000 0.000 0.000 8.829" Properties=species:S:1:pos:R:3 pbc="T T T"
Fe 2.365 0.000 4.415
Fe -1.183 2.048 4.415
Fe 1.183 2.048 4.415
Rb 0.000 0.000 0.000
Si 2.365 1.366 2.461
Si 0.000 2.731 2.461
Si 0.000 0.000 4.415
Si 2.365 1.366 6.368
Si 0.000 2.731 6.368
```

13.
RbFeSi: optimized geometry, PBE-GGA.

Properties
total magnetization = 0.471 μB per atom
V = 21.6 Å³ per atom
E = -10.8 eV for the cell shown

extended XYZ file:
```
3
Lattice="1.794 -3.460 2.260 2.646 0.767 3.565 -1.464 -0.984 4.146" Properties=species:S:1:pos:R:3 pbc="T T T"
Fe 0.000 0.000 0.000
Rb 0.744 -0.919 2.493
Si 2.232 -2.758 7.478
```

14.
RbSmFe: optimized geometry, PBE-GGA.

Properties
total magnetization = 0.561 μB per atom
V = 33.6 Å³ per atom
E = -9.7 eV for the cell shown

extended XYZ file:
```
3
Lattice="-2.970 -3.810 -1.987 -2.127 -3.572 3.163 -5.155 -0.003 0.844" Properties=species:S:1:pos:R:3 pbc="T T T"
Fe -2.563 -1.846 0.505
Rb -7.689 -5.539 1.515
Sm 0.000 0.000 0.000
```

15.
RbSmFeTe3: optimized geometry, PBE-GGA.

Properties
total magnetization = 0.500 μB per atom
energy above the lowest structure with this stoichiometry = 0.1854 eV/atom
V = 34.5 Å³ per atom
E = -55.2 eV for the cell shown

extended XYZ file:
```
12
Lattice="8.924 -2.410 0.000 8.924 2.410 0.000 -0.474 0.000 9.622" Properties=species:S:1:pos:R:3 pbc="T T T"
Fe 8.843 0.000 3.652
Fe 8.531 0.000 5.970
Rb 2.505 0.000 0.845
Rb 14.869 0.000 8.776
Sm 14.746 0.000 3.960
Sm 2.628 0.000 5.662
Te 8.924 0.000 0.000
Te 6.578 0.000 2.023
Te 11.695 0.000 3.517
Te -0.237 0.000 4.811
Te 5.679 0.000 6.105
Te 10.796 0.000 7.599
```

16.
RbSmFeTe3: optimized geometry, PBE-GGA.

Properties
total magnetization = 0.667 μB per atom
energy above the lowest structure with this stoichiometry = 0.0762 eV/atom
V = 32.9 Å³ per atom
E = -113.1 eV for the cell shown

extended XYZ file:
```
24
Lattice="-4.943 10.413 4.454 -2.811 0.245 -3.691 -9.476 -7.376 6.727" Properties=species:S:1:pos:R:3 pbc="T T T"
Fe -5.632 6.228 4.702
Fe -3.991 0.376 3.064
Fe -11.833 2.783 6.272
Fe -10.192 -3.069 4.634
Rb -0.892 1.870 0.803
Rb -8.095 3.393 6.390
Rb -7.729 -0.234 2.946
Rb -14.932 1.289 8.533
Sm -5.441 3.784 1.470
Sm -9.295 7.914 4.680
Sm -6.529 -4.755 4.656
Sm -10.383 -0.625 7.866
Te -3.566 5.793 3.100
Te -6.287 8.655 5.362
Te -4.375 0.876 0.466
Te -7.770 5.363 3.349
Te -5.372 2.237 4.239
Te -4.641 -2.174 3.390
Te -11.183 5.333 5.946
Te -10.452 0.922 5.097
Te -8.054 -2.204 5.987
Te -11.449 2.283 8.870
Te -9.537 -5.496 3.974
Te -12.258 -2.634 6.237
```

17.
RbSmFeTe3: optimized geometry, PBE-GGA.

Properties
total magnetization = 0.665 μB per atom
energy above the lowest structure with this stoichiometry = 0.0677 eV/atom
V = 34.4 Å³ per atom
E = -113.3 eV for the cell shown

extended XYZ file:
```
24
Lattice="-8.539 3.753 -5.924 -2.855 -2.253 2.689 -1.078 13.195 9.913" Properties=species:S:1:pos:R:3 pbc="T T T"
Fe -6.436 3.536 -1.969
Fe -2.437 4.969 3.479
Fe -10.036 9.725 3.199
Fe -6.037 11.158 8.647
Rb -10.541 4.176 -1.988
Rb -6.442 4.386 2.541
Rb -6.031 10.308 4.137
Rb -1.932 10.518 8.666
Sm -3.682 1.523 -0.731
Sm -8.358 8.374 0.045
Sm -4.115 6.320 6.633
Sm -8.792 13.171 7.409
Te -7.751 2.698 -4.068
Te -6.763 1.747 -0.011
Te -2.877 3.289 1.604
Te -7.194 5.743 -0.925
Te -2.794 3.552 5.716
Te -3.992 7.069 3.587
Te -8.481 7.626 3.091
Te -9.679 11.143 0.962
Te -5.279 8.951 7.603
Te -9.596 11.405 5.074
Te -5.710 12.947 6.689
Te -4.722 11.996 10.746
```

18.
RbSmFeTe3: optimized geometry, PBE-GGA.

Properties
total magnetization = 0.667 μB per atom
energy above the lowest structure with this stoichiometry = 0.0114 eV/atom
V = 35.6 Å³ per atom
E = -114.6 eV for the cell shown

extended XYZ file:
```
24
Lattice="11.716 0.000 0.000 0.000 4.438 0.000 0.000 0.000 16.422" Properties=species:S:1:pos:R:3 pbc="T T T"
Fe 8.643 3.328 3.581
Fe 2.785 3.328 4.630
Fe 8.932 1.109 11.792
Fe 3.073 1.109 12.841
Rb 3.170 3.328 0.071
Rb 9.028 3.328 8.140
Rb 2.688 1.109 8.282
Rb 8.546 1.109 16.351
Sm 11.546 1.109 4.033
Sm 5.688 1.109 4.178
Sm 6.028 3.328 12.244
Sm 0.170 3.328 12.389
Te 10.727 3.328 1.988
Te 6.474 3.328 2.105
Te 2.784 1.109 3.057
Te 8.643 1.109 5.154
Te 0.616 3.328 6.106
Te 4.869 3.328 6.223
Te 6.847 1.109 10.199
Te 11.100 1.109 10.315
Te 3.074 3.328 11.267
Te 8.932 3.328 13.365
Te 5.242 1.109 14.317
Te 0.989 1.109 14.434
```

19.
RbSmFeTe3: optimized geometry, PBE-GGA.

Properties
total magnetization = 0.639 μB per atom
energy above the lowest structure with this stoichiometry = 0.0019 eV/atom
V = 37.1 Å³ per atom
E = -57.4 eV for the cell shown

extended XYZ file:
```
12
Lattice="9.832 0.000 0.000 0.000 4.359 0.000 -3.994 0.000 10.378" Properties=species:S:1:pos:R:3 pbc="T T T"
Fe 5.248 1.090 0.812
Fe 0.591 3.270 9.566
Rb 1.685 3.270 2.355
Rb 4.153 1.090 8.023
Sm 6.679 3.270 3.686
Sm -0.841 1.090 6.692
Te 6.873 3.270 0.481
Te 4.468 1.090 3.348
Te -0.917 1.090 3.595
Te 6.755 3.270 6.783
Te 1.370 3.270 7.030
Te -1.035 1.090 9.897
```